(1)
First-principles (PBE) data for a relaxed structure of TcNi3Pb, as listed in the Alexandria database.

Lattice parameters (Å, degrees): 4.5573 4.5573 4.5573 90.00 90.00 90.00
Closest atoms and distances in Å follow each position.
Element x y z (fractional)
Tc 0.0000 0.0000 0.0000  6 Ni 2.28
Ni 0.0000 0.0000 0.5000  2 Tc 2.28
Ni 0.0000 0.5000 0.0000  2 Tc 2.28
Ni 0.5000 0.0000 0.0000  2 Tc 2.28
Pb 0.5000 0.5000 0.5000  12 Ni 3.22

ΔE_f = 1.023 eV per atom
mass density = 8.44 g cm⁻³
space-group type = Pm-3m (221)
spin magnetization = 0.0 Bohr magnetons per cell


(2)
First-principles (PBE) data for a relaxed structure of PuMg2Hg8, as listed in the Alexandria database.

Lattice parameters (Å, degrees): 8.1381 8.1381 7.2232 105.85 105.85 35.12
Closest atoms and distances in Å follow each position.
Element x y z (fractional)
Pu 0.0000 0.0000 0.0000  12 Hg 3.22-3.36
Mg 0.2597 0.2597 0.3380  8 Hg 2.98-3.25
Mg 0.7403 0.7403 0.6620  8 Hg 2.98-3.25
Hg 0.0956 0.0956 0.4730  1 Mg 2.98, 6 Hg 3.07-3.30, 1 Pu 3.31
Hg 0.1913 0.1913 0.9080  3 Mg 2.98-3.25, 6 Hg 3.07-3.19, 1 Pu 3.22
Hg 0.3637 0.3637 0.7670  3 Mg 3.06-3.07, 5 Hg 3.09-3.37, 2 Pu 3.36
Hg 0.4403 0.4403 0.2533  1 Mg 3.03, 6 Hg 3.09-3.37, 2 Pu 3.35
Hg 0.5597 0.5597 0.7467  1 Mg 3.03, 6 Hg 3.09-3.37, 2 Pu 3.35
Hg 0.6363 0.6363 0.2330  3 Mg 3.06-3.07, 5 Hg 3.09-3.37, 2 Pu 3.36
Hg 0.8087 0.8087 0.0920  3 Mg 2.98-3.25, 6 Hg 3.07-3.19, 1 Pu 3.22
Hg 0.9044 0.9044 0.5270  1 Mg 2.98, 6 Hg 3.07-3.30, 1 Pu 3.31

ΔE_f = -0.104 eV per atom
mass density = 11.95 g cm⁻³
space-group type = C2/m (12)
spin magnetization = 5.8 Bohr magnetons per cell


(3)
First-principles (PBE) data for a relaxed structure of SrAc2La, as listed in the Alexandria database.

Lattice parameters (Å, degrees): 3.9587 3.9587 11.3831 90.00 90.00 90.00
Closest atoms and distances in Å follow each position.
Element x y z (fractional)
Sr 0.0000 0.0000 0.0000  4 Sr 3.96, 8 Ac 4.17
Ac 0.5000 0.5000 0.2719  4 La 3.82, 4 Ac 3.96, 4 Sr 4.17
Ac 0.5000 0.5000 0.7281  4 La 3.82, 4 Ac 3.96, 4 Sr 4.17
La 0.0000 0.0000 0.5000  8 Ac 3.82, 4 La 3.96

ΔE_f = 0.038 eV per atom
mass density = 6.33 g cm⁻³
space-group type = P4/mmm (123)
spin magnetization = 0.0 Bohr magnetons per cell


(4)
First-principles (PBE) data for a relaxed structure of CaCdSi2, as listed in the Alexandria database.

Lattice parameters (Å, degrees): 3.1801 4.5200 5.9291 90.00 90.00 90.00
Closest atoms and distances in Å follow each position.
Element x y z (fractional)
Ca 0.0000 0.0000 0.0000  8 Si 3.03, 2 Ca 3.18, 4 Cd 3.36
Cd 0.5000 0.0000 0.5000  4 Si 2.84, 2 Cd 3.18
Si 0.5000 0.5000 0.2089  1 Si 2.48
Si 0.5000 0.5000 0.7911  1 Si 2.48

mass density = 4.07 g cm⁻³
space-group type = Pmmm (47)
spin magnetization = 0.0 Bohr magnetons per cell
formation energy (no corrections) = 0 kJ/mol of formula units